(1)
Compound: TiTe6Pd2
Source: the Alexandria database
Functional: PBE
Structure: relaxed

* formation energy from raw total energies: -0.372 eV per atom
* crystal system: monoclinic
* density: 6.7 g cm⁻³
* E_tot: -4.50 eV/atom

a b c (Å): 12.786 3.974 11.349
angles (deg): 90.00 118.68 90.00
Space group C2/m (No. 12)
Inequivalent atoms, fractional coordinates:
Ti: 0.000 0.000 0.000 x2
Te: 0.003 0.000 0.758 x4
Te: 0.171 0.500 0.566 x4
Te: 0.175 0.500 0.090 x4
Pd: 0.166 0.500 0.327 x4

---

(2)
Compound: Ti2TePd2
Source: the Alexandria database
Functional: PBE
Structure: relaxed

* distance to the lowest polymorph of the same formula: 0 meV per atom
* formation energy from raw total energies: -0.361 eV per atom
* crystal system: tetragonal
* density: 8.0 g cm⁻³
* E_tot: -6.22 eV/atom

a b c (Å): 7.152 7.152 3.524
angles (deg): 90.00 90.00 90.00
Space group P4/mbm (No. 127)
Inequivalent atoms, fractional coordinates:
Ti: 0.161 0.339 0.000 x4
Te: 0.000 0.000 0.500 x2
Pd: 0.131 0.631 0.500 x4

---

(3)
Compound: Ti2Te5Pd
Source: the Alexandria database
Functional: PBE
Structure: relaxed

* formation energy from raw total energies: -0.446 eV per atom
* crystal system: orthorhombic
* density: 6.1 g cm⁻³
* E_tot: -5.03 eV/atom

a b c (Å): 5.508 13.808 12.079
angles (deg): 90.00 90.00 90.00
Space group Cmcm (No. 63)
Inequivalent atoms, fractional coordinates:
Ti: 0.000 0.171 0.037 x8
Te: 0.000 0.035 0.620 x8
Te: 0.000 0.254 0.250 x4
Te: 0.000 0.339 0.579 x8
Pd: 0.000 0.207 0.750 x4

---

(4)
Compound: Ti2TePd9
Source: the Alexandria database
Functional: PBE
Structure: relaxed

* formation energy from raw total energies: -0.496 eV per atom
* crystal system: tetragonal
* density: 10.3 g cm⁻³
* E_tot: -5.97 eV/atom

a b c (Å): 3.970 3.970 12.067
angles (deg): 90.00 90.00 90.00
Space group P4/mmm (No. 123)
Inequivalent atoms, fractional coordinates:
Ti: 0.000 0.000 0.163 x2
Te: 0.000 0.000 0.500 x1
Pd: 0.000 0.500 0.000 x2
Pd: 0.000 0.500 0.317 x4
Pd: 0.500 0.500 0.160 x2
Pd: 0.500 0.500 0.500 x1

---

(5)
Compound: TiTePd2
Source: the Alexandria database
Functional: PBE
Structure: relaxed

* formation energy from raw total energies: -0.265 eV per atom
* crystal system: tetragonal
* density: 8.6 g cm⁻³
* E_tot: -5.62 eV/atom

a b c (Å): 3.993 3.993 18.846
angles (deg): 90.00 90.00 90.00
Space group I-42d (No. 122)
Inequivalent atoms, fractional coordinates:
Ti: 0.000 0.000 0.000 x4
Te: 0.000 0.000 0.500 x4
Pd: 0.242 0.250 0.125 x8

---

(6)
Compound: Ti2Te7Pd2
Source: the Alexandria database
Functional: PBE
Structure: relaxed

* formation energy from raw total energies: -0.401 eV per atom
* crystal system: monoclinic
* density: 6.6 g cm⁻³
* E_tot: -4.78 eV/atom

a b c (Å): 7.271 12.879 6.438
angles (deg): 90.00 91.14 90.00
Space group C2/m (No. 12)
Inequivalent atoms, fractional coordinates:
Ti: 0.000 0.157 0.000 x4
Te: 0.000 0.500 0.500 x2
Te: 0.117 0.000 0.735 x4
Te: 0.191 0.301 0.759 x8
Pd: 0.220 0.500 0.880 x4

---

(7)
Compound: Ti2Tl2Te6Pd
Source: the Alexandria database
Functional: PBE
Structure: relaxed

* formation energy from raw total energies: -0.456 eV per atom
* crystal system: monoclinic
* density: 6.9 g cm⁻³
* E_tot: -4.51 eV/atom

a b c (Å): 6.911 11.785 8.523
angles (deg): 90.00 106.49 90.00
Space group C2/m (No. 12)
Inequivalent atoms, fractional coordinates:
Ti: 0.000 0.191 0.000 x4
Tl: 0.000 0.345 0.500 x4
Te: 0.219 0.000 0.171 x4
Te: 0.245 0.161 0.792 x8
Pd: 0.000 0.500 0.000 x2

---

(8)
Compound: Ti3TlTe6Pd2
Source: the Alexandria database
Functional: PBE
Structure: relaxed

* formation energy from raw total energies: -0.483 eV per atom
* crystal system: monoclinic
* density: 6.8 g cm⁻³
* E_tot: -5.09 eV/atom

a b c (Å): 18.649 3.997 9.354
angles (deg): 90.00 110.68 90.00
Space group C2/m (No. 12)
Inequivalent atoms, fractional coordinates:
Ti: 0.000 0.000 0.000 x2
Ti: 0.136 0.500 0.317 x4
Tl: 0.000 0.000 0.500 x2
Te: 0.023 0.500 0.808 x4
Te: 0.159 0.000 0.130 x4
Te: 0.193 0.000 0.561 x4
Pd: 0.109 0.500 0.613 x4

---

(9)
Compound: TlTePd3
Source: the Alexandria database
Functional: PBE
Structure: relaxed

* distance to the lowest polymorph of the same formula: 374 meV per atom
* formation energy from raw total energies: 0.125 eV per atom
* crystal system: cubic
* density: 8.4 g cm⁻³
* E_tot: -4.09 eV/atom

a b c (Å): 5.040 5.040 5.040
angles (deg): 90.00 90.00 90.00
Space group Pm-3m (No. 221)
Inequivalent atoms, fractional coordinates:
Tl: 0.000 0.000 0.000 x1
Te: 0.500 0.500 0.500 x1
Pd: 0.000 0.500 0.500 x3

---

(10)
Compound: Tl2Te4Pd3
Source: the Alexandria database
Functional: PBE
Structure: relaxed

* formation energy from raw total energies: -0.315 eV per atom
* crystal system: orthorhombic
* density: 8.0 g cm⁻³
* E_tot: -3.97 eV/atom

a b c (Å): 6.405 12.478 12.801
angles (deg): 90.00 90.00 90.00
Space group Fmmm (No. 69)
Inequivalent atoms, fractional coordinates:
Tl: 0.000 0.000 0.129 x8
Te: 0.000 0.158 0.361 x16
Pd: 0.000 0.000 0.500 x4
Pd: 0.250 0.250 0.000 x8

---

(11)
Compound: Tl2TePd6
Source: the Alexandria database
Functional: PBE
Structure: relaxed

* formation energy from raw total energies: -0.211 eV per atom
* crystal system: hexagonal
* density: 11.9 g cm⁻³
* E_tot: -4.55 eV/atom

a b c (Å): 7.5909 7.5909 3.2903
angles (deg): 90.00 90.00 120.00
Space group P-62m (No. 189)
Inequivalent atoms, fractional coordinates:
Tl: 0.3333 0.6667 0.0000 x2
Te: 0.0000 0.0000 0.5000 x1
Pd: 0.0000 0.2840 0.0000 x3
Pd: 0.0000 0.6286 0.5000 x3

---

(12)
Compound: Tl5Te4Pd
Source: the Alexandria database
Functional: PBE
Structure: relaxed

* formation energy from raw total energies: -0.213 eV per atom
* crystal system: monoclinic
* density: 8.4 g cm⁻³
* E_tot: -3.17 eV/atom

a b c (Å): 19.089 4.533 8.008
angles (deg): 90.00 111.01 90.00
Space group C2/m (No. 12)
Inequivalent atoms, fractional coordinates:
Tl: 0.000 0.000 0.000 x2
Tl: 0.157 0.500 0.246 x4
Tl: 0.206 0.500 0.821 x4
Te: 0.029 0.500 0.732 x4
Te: 0.147 0.000 0.518 x4
Pd: 0.000 0.000 0.500 x2